Density functional theory data (PBE) for a relaxed Y2CdSn2Rh5 crystal.

The structure in CIF format:
```
data_Y2CdSn2Rh5
_chemical_formula_sum 'Y4 Cd2 Sn4 Rh10'
_cell_length_a 10.116
_cell_length_b 10.116
_cell_length_c 3.759
_cell_angle_alpha 90.00
_cell_angle_beta 90.00
_cell_angle_gamma 90.00
_space_group_name_H-M_alt 'P 4/m b m'
_space_group_IT_number 127
_space_group_name_Hall '-P 4 2ab'
loop_
_atom_site_label
_atom_site_type_symbol
_atom_site_fract_x
_atom_site_fract_y
_atom_site_fract_z
_atom_site_occupancy
Y1 Y 0.171 0.329 0.000 1
Cd1 Cd 0.000 0.000 0.000 1
Sn1 Sn 0.128 0.628 0.000 1
Rh1 Rh 0.000 0.500 0.500 1
Rh2 Rh 0.063 0.798 0.500 1
```

Results
DFT formation energy ... -0.53 eV per atom
Raw total energy ... -6.39 eV per atom